VASP calculation (PBEsol) on crystalline ErZnAsO at its relaxed geometry.

electronic total energy = -6.081 eV per atom
theoretical density = 8.20 g/cm³
formation energy from raw total energies = -1.865 eV per atom

abc: 3.878 3.878 8.720
angles: 90.00 90.00 90.00
Space group P4/nmm (No. 129, origin choice 2)
Unique sites:
Er: 0.250 0.250 0.122 x2
Zn: 0.250 0.750 0.500 x2
As: 0.250 0.250 0.687 x2
O: 0.250 0.750 0.000 x2